10
Lattice="7.132 0.000 0.000 0.000 7.132 0.000 0.000 0.000 3.840" Properties=species:S:1:pos:R:3 comment="Y2Cu2Pt (GGA-PBE, optimized geometry)" e_tot_ev_per_atom=-5.9609 density_g_cm3=8.50 pbc="T T T"
Y 1.311 2.255 0.000
Y 2.255 5.821 0.000
Y 4.877 1.311 0.000
Y 5.821 4.877 0.000
Cu 0.853 4.419 1.920
Cu 2.713 0.853 1.920
Cu 4.419 6.279 1.920
Cu 6.279 2.713 1.920
Pt 0.000 0.000 1.920
Pt 3.566 3.566 1.920